The following is a DFT calculation (PBE-GGA) of a geometry-optimized Ta2FePt structure.

Cell: 5.6537 7.8505 2.8132 Å, 90.00 90.30 90.00°
Fractional coordinates of all 8 atoms:
Ta (0.2500, 0.2500, 0.0000)
Ta (0.2500, 0.7500, 0.0000)
Ta (0.7500, 0.2500, 0.0000)
Ta (0.7500, 0.7500, 0.0000)
Fe (0.0000, 0.0000, 0.5000)
Fe (0.5000, 0.5000, 0.5000)
Pt (0.0000, 0.5000, 0.5000)
Pt (0.5000, 0.0000, 0.5000)

E_tot in eV/atom: -9.8164
Energy above the lowest structure with this stoichiometry in meV/atom: 99
ΔE_f in eV per atom: -0.264